# 1
Entry from the Alexandria database: a relaxed structure of Pm6Pr2Sm5 (PBE).

a = 3.6637 Å, b = 11.9251 Å, c = 20.7971 Å
α = 90.00°, β = 90.00°, γ = 90.00°
Last column: nearest neighbours and their distance in Å.
Sites, in units of the cell vectors:
Pm 0.5000 0.6793 0.8708  2 Sm 3.38-3.43, 6 Pm 3.57-3.76, 2 Pr 3.71
Pm 0.0000 0.5608 0.4230  5 Pm 3.52-3.76, 6 Sm 3.54-3.68
Pm 0.0000 0.9392 0.9230  5 Pm 3.52-3.76, 6 Sm 3.54-3.68
Pm 0.5000 0.3207 0.1292  2 Sm 3.38-3.43, 6 Pm 3.57-3.76, 2 Pr 3.71
Pm 0.5000 0.8207 0.3708  2 Sm 3.38-3.43, 6 Pm 3.57-3.76, 2 Pr 3.71
Pm 0.0000 0.0778 0.3655  1 Pr 3.43, 6 Sm 3.47-3.63, 4 Pm 3.57-3.66
Pm 0.0000 0.4222 0.8655  1 Pr 3.43, 6 Sm 3.47-3.63, 4 Pm 3.57-3.66
Pm 0.0000 0.9222 0.6345  1 Pr 3.43, 6 Sm 3.47-3.63, 4 Pm 3.57-3.66
Pm 0.5000 0.1793 0.6292  2 Sm 3.38-3.43, 6 Pm 3.57-3.76, 2 Pr 3.71
Pm 0.0000 0.5778 0.1345  1 Pr 3.43, 6 Sm 3.47-3.63, 4 Pm 3.57-3.66
Pm 0.0000 0.4392 0.5770  5 Pm 3.52-3.76, 6 Sm 3.54-3.68
Pm 0.0000 0.0608 0.0770  5 Pm 3.52-3.76, 6 Sm 3.54-3.68
Sm 0.5000 0.4125 0.7219  5 Pm 3.38-3.54, 4 Pr 3.60-3.64, 2 Sm 3.66
Sm 0.5000 0.0000 0.5000  6 Pm 3.43-3.47, 4 Sm 3.66-3.76
Sm 0.5000 0.5875 0.2781  5 Pm 3.38-3.54, 4 Pr 3.60-3.64, 2 Sm 3.66
Sm 0.5000 0.8006 0.0544  6 Pm 3.63-3.68, 3 Sm 3.66-3.76, 2 Pr 3.84
Sm 0.5000 0.0875 0.2219  5 Pm 3.38-3.54, 4 Pr 3.60-3.64, 2 Sm 3.66
Sm 0.5000 0.1994 0.9456  6 Pm 3.63-3.68, 3 Sm 3.66-3.76, 2 Pr 3.84
Sm 0.5000 0.3006 0.4456  6 Pm 3.63-3.68, 3 Sm 3.66-3.76, 2 Pr 3.84
Sm 0.5000 0.9125 0.7781  5 Pm 3.38-3.54, 4 Pr 3.60-3.64, 2 Sm 3.66
Sm 0.5000 0.6994 0.5544  6 Pm 3.63-3.68, 3 Sm 3.66-3.76, 2 Pr 3.84
Sm 0.5000 0.5000 0.0000  6 Pm 3.43-3.47, 4 Sm 3.66-3.76
Pr 0.0000 0.6717 0.7160  3 Pm 3.43-3.71, 6 Sm 3.60-3.84, 2 Pr 3.66
Pr 0.0000 0.8283 0.2160  3 Pm 3.43-3.71, 6 Sm 3.60-3.84, 2 Pr 3.66
Pr 0.0000 0.3283 0.2840  3 Pm 3.43-3.71, 6 Sm 3.60-3.84, 2 Pr 3.66
Pr 0.0000 0.1717 0.7840  3 Pm 3.43-3.71, 6 Sm 3.60-3.84, 2 Pr 3.66

Values from the calculation:
* ρ: 6.96 g/cm3
* total DFT energy (no corrections): -120.90 eV for the cell shown
* energy relative to the elements: 0.09 eV/atom
* total moment: 0.0 Bohr magnetons per cell

---

# 2
Entry from the Alexandria database: a relaxed structure of PmPr8Sm5 (PBE).

a = 8.6892 Å, b = 8.6892 Å, c = 8.6892 Å
α = 111.22°, β = 106.02°, γ = 111.22°
Last column: nearest neighbours and their distance in Å.
Sites, in units of the cell vectors:
Pr 0.5628 0.9000 0.8286  1 Pm 3.22, 3 Sm 3.24-3.49
Pr 0.5298 0.6040 0.2744  5 Sm 3.43-3.66, 3 Pr 3.69-3.77
Pr 0.0742 0.7446 0.4702  5 Sm 3.43-3.66, 3 Pr 3.69-3.77
Pr 0.7256 0.2554 0.3296  5 Sm 3.43-3.66, 3 Pr 3.69-3.77
Pr 0.3372 0.2658 0.4372  1 Pm 3.22, 3 Sm 3.24-3.49
Pr 0.1714 0.7342 0.0714  1 Pm 3.22, 3 Sm 3.24-3.49
Pr 0.9286 0.1000 0.6628  1 Pm 3.22, 3 Sm 3.24-3.49
Pr 0.6704 0.3960 0.9258  5 Sm 3.43-3.66, 3 Pr 3.69-3.77
Sm 0.8667 0.9005 0.1802  8 Pr 3.44-3.70, 2 Sm 3.57
Sm 0.5000 0.0000 0.5000  8 Pr 3.24-3.43
Sm 0.0338 0.3135 0.1333  8 Pr 3.44-3.70, 2 Sm 3.57
Sm 0.8198 0.6865 0.7203  8 Pr 3.44-3.70, 2 Sm 3.57
Sm 0.2797 0.0995 0.9662  8 Pr 3.44-3.70, 2 Sm 3.57
Pm 0.2500 0.5000 0.7500  4 Pr 3.22

Values from the calculation:
* ρ: 6.67 g/cm3
* total DFT energy (no corrections): -63.40 eV for the cell shown
* energy relative to the elements: 0.23 eV/atom
* total moment: 0.0 Bohr magnetons per cell

---

# 3
Entry from the Alexandria database: a relaxed structure of Pm2Pr6Sm3 (PBE).

a = 3.6801 Å, b = 3.6801 Å, c = 33.0860 Å
α = 86.81°, β = 86.81°, γ = 60.00°
Last column: nearest neighbours and their distance in Å.
Sites, in units of the cell vectors:
Pr 0.1821 0.1821 0.4537  3 Pm 3.68, 9 Pr 3.68-3.72
Pr 0.0905 0.0905 0.7284  3 Sm 3.67, 6 Pr 3.68, 3 Pm 3.68
Pr 0.8179 0.8179 0.5463  3 Pm 3.68, 9 Pr 3.68-3.72
Pr 0.3635 0.3635 0.9095  6 Sm 3.67, 6 Pr 3.68
Pr 0.9095 0.9095 0.2716  3 Sm 3.67, 6 Pr 3.68, 3 Pm 3.68
Pr 0.6365 0.6365 0.0905  6 Sm 3.67, 6 Pr 3.68
Pm 0.5458 0.5458 0.3627  6 Pr 3.68, 6 Pm 3.68
Pm 0.4542 0.4542 0.6373  6 Pr 3.68, 6 Pm 3.68
Sm 0.0000 0.0000 0.0000  6 Pr 3.67, 6 Sm 3.68
Sm 0.2730 0.2730 0.1810  6 Pr 3.67, 6 Sm 3.68
Sm 0.7270 0.7270 0.8190  6 Pr 3.67, 6 Sm 3.68

Values from the calculation:
* ρ: 6.80 g/cm3
* total DFT energy (no corrections): -52.23 eV for the cell shown
* energy relative to the elements: 0.01 eV/atom
* energy relative to the lowest polymorph listed for this composition: 0.0000 eV/atom
* total moment: 0.0 Bohr magnetons per cell

---

# 4
Entry from the Alexandria database: a relaxed structure of Pm3PrSm6 (PBE).

a = 10.0500 Å, b = 10.0500 Å, c = 7.0260 Å
α = 44.34°, β = 44.34°, γ = 60.00°
Last column: nearest neighbours and their distance in Å.
Sites, in units of the cell vectors:
Sm 0.9003 0.5737 0.2995  1 Pr 3.28, 2 Pm 3.52
Sm 0.7255 0.0747 0.7995  3 Pm 3.27-3.54
Sm 0.5737 0.2265 0.2995  1 Pr 3.28, 2 Pm 3.52
Sm 0.0747 0.4003 0.7995  3 Pm 3.27-3.54
Sm 0.4003 0.7255 0.7995  3 Pm 3.27-3.54
Sm 0.2265 0.9003 0.2995  1 Pr 3.28, 2 Pm 3.52
Pm 0.1515 0.1515 0.5455  1 Pm 2.95, 1 Pr 2.99
Pm 0.3998 0.3998 0.8007  2 Pm 2.95, 3 Sm 3.27
Pm 0.6479 0.6479 0.0563  1 Pm 2.95, 1 Pr 2.99
Pr 0.8998 0.8998 0.3005  2 Pm 2.99, 3 Sm 3.28

Values from the calculation:
* ρ: 7.08 g/cm3
* total DFT energy (no corrections): -44.86 eV for the cell shown
* energy relative to the elements: 0.25 eV/atom
* energy relative to the lowest polymorph listed for this composition: 0.1084 eV/atom
* total moment: 0.0 Bohr magnetons per cell

---

# 5
Entry from the Alexandria database: a relaxed structure of PmPr6Sm3 (PBE).

a = 10.1389 Å, b = 10.1389 Å, c = 7.0988 Å
α = 44.43°, β = 44.43°, γ = 60.00°
Last column: nearest neighbours and their distance in Å.
Sites, in units of the cell vectors:
Pr 0.9001 0.5728 0.3007  1 Pm 3.31, 2 Sm 3.55-3.56
Pr 0.2264 0.9001 0.3007  1 Pm 3.31, 2 Sm 3.55-3.56
Pr 0.0730 0.4002 0.8006  3 Sm 3.31-3.56
Pr 0.4002 0.7262 0.8006  3 Sm 3.31-3.57
Pr 0.7262 0.0730 0.8006  3 Sm 3.31-3.57
Pr 0.5728 0.2264 0.3007  1 Pm 3.31, 2 Sm 3.55-3.56
Pm 0.9004 0.9004 0.2987  2 Sm 3.01-3.02, 3 Pr 3.31
Sm 0.4004 0.4004 0.7987  2 Sm 3.00-3.01, 3 Pr 3.31
Sm 0.6497 0.6497 0.0509  1 Sm 3.00, 1 Pm 3.02
Sm 0.1507 0.1507 0.5479  1 Sm 3.01, 1 Pm 3.01

Values from the calculation:
* ρ: 6.70 g/cm3
* total DFT energy (no corrections): -45.40 eV for the cell shown
* energy relative to the elements: 0.22 eV/atom
* energy relative to the lowest polymorph listed for this composition: 0.0883 eV/atom
* total moment: 0.0 Bohr magnetons per cell

---

# 6
Entry from the Alexandria database: a relaxed structure of Pm4PrSm6 (PBE).

a = 9.9040 Å, b = 9.9040 Å, c = 9.9040 Å
α = 57.04°, β = 140.54°, γ = 140.54°
Last column: nearest neighbours and their distance in Å.
Sites, in units of the cell vectors:
Sm 0.5000 0.5000 0.0000  4 Sm 3.32, 2 Pr 3.34
Sm 0.0000 0.4497 0.8061  3 Sm 3.32-3.37, 5 Pm 3.38-3.64
Sm 0.0000 0.8061 0.4497  3 Sm 3.32-3.37, 5 Pm 3.38-3.64
Sm 0.5000 0.0000 0.5000  4 Sm 3.32, 2 Pr 3.34
Sm 0.6436 0.1939 0.1939  3 Sm 3.32-3.37, 5 Pm 3.38-3.64
Sm 0.3564 0.5503 0.5503  3 Sm 3.32-3.37, 5 Pm 3.38-3.64
Pm 0.3789 0.3673 0.3673  5 Sm 3.38-3.64, 1 Pr 3.58, 1 Pm 3.58
Pm 0.0000 0.0116 0.6327  5 Sm 3.38-3.64, 1 Pr 3.58, 1 Pm 3.58
Pm 0.0000 0.6327 0.0116  5 Sm 3.38-3.64, 1 Pr 3.58, 1 Pm 3.58
Pm 0.6211 0.9884 0.9884  5 Sm 3.38-3.64, 1 Pr 3.58, 1 Pm 3.58
Pr 0.0000 0.0000 0.0000  4 Sm 3.34, 4 Pm 3.58

Values from the calculation:
* ρ: 6.93 g/cm3
* total DFT energy (no corrections): -48.84 eV for the cell shown
* energy relative to the elements: 0.30 eV/atom
* energy relative to the lowest polymorph listed for this composition: 0.1404 eV/atom
* total moment: 0.0 Bohr magnetons per cell

---

# 7
Entry from the Alexandria database: a relaxed structure of Pm4Pr5Sm4 (PBE).

a = 5.1636 Å, b = 9.7292 Å, c = 9.7298 Å
α = 85.96°, β = 74.61°, γ = 74.61°
Last column: nearest neighbours and their distance in Å.
Sites, in units of the cell vectors:
Sm 0.3855 0.6907 0.5384  5 Sm 3.65, 3 Pr 3.66, 4 Pm 3.66-3.70
Sm 0.6145 0.3093 0.4616  5 Sm 3.65, 3 Pr 3.66, 4 Pm 3.66-3.70
Sm 0.9238 0.4616 0.6907  5 Sm 3.65, 3 Pr 3.66, 4 Pm 3.66-3.70
Sm 0.0762 0.5384 0.3093  5 Sm 3.65, 3 Pr 3.66, 4 Pm 3.66-3.70
Pm 0.1544 0.0775 0.6137  6 Pr 3.65-3.70, 2 Pm 3.65, 4 Sm 3.66-3.70
Pm 0.7681 0.3862 0.0775  6 Pr 3.65-3.70, 2 Pm 3.65, 4 Sm 3.66-3.70
Pm 0.8456 0.9225 0.3863  6 Pr 3.65-3.70, 2 Pm 3.65, 4 Sm 3.66-3.70
Pm 0.2319 0.6138 0.9225  6 Pr 3.65-3.70, 2 Pm 3.65, 4 Sm 3.66-3.70
Pr 0.4615 0.2326 0.8445  5 Pm 3.65-3.68, 3 Sm 3.66, 4 Pr 3.68-3.71
Pr 0.5385 0.7674 0.1555  5 Pm 3.65-3.68, 3 Sm 3.66, 4 Pr 3.68-3.71
Pr 0.3060 0.1555 0.2325  5 Pm 3.65-3.68, 3 Sm 3.66, 4 Pr 3.68-3.71
Pr 0.0000 0.0000 0.0000  8 Pr 3.68, 4 Pm 3.70
Pr 0.6940 0.8445 0.7675  5 Pm 3.65-3.68, 3 Sm 3.66, 4 Pr 3.68-3.71

Values from the calculation:
* ρ: 6.89 g/cm3
* total DFT energy (no corrections): -61.61 eV for the cell shown
* energy relative to the elements: 0.01 eV/atom
* total moment: 0.0 Bohr magnetons per cell

---

# 8
Entry from the Alexandria database: a relaxed structure of PmPr7Sm2 (PBE).

a = 5.6787 Å, b = 9.4284 Å, c = 9.4285 Å
α = 122.90°, β = 90.00°, γ = 90.00°
Last column: nearest neighbours and their distance in Å.
Sites, in units of the cell vectors:
Sm 0.5000 0.2764 0.7236  6 Pr 3.30-3.43
Sm 0.5000 0.7236 0.2764  6 Pr 3.30-3.43
Pr 0.5000 0.0825 0.2934  2 Sm 3.30-3.43, 3 Pr 3.31-3.49
Pr 0.5000 0.9175 0.7066  2 Sm 3.30-3.43, 3 Pr 3.31-3.49
Pr 0.0000 0.3926 0.6074  3 Pr 3.35-3.56, 2 Sm 3.43
Pr 0.5000 0.7066 0.9175  2 Sm 3.30-3.43, 3 Pr 3.31-3.49
Pr 0.0000 0.6074 0.3926  3 Pr 3.35-3.56, 2 Sm 3.43
Pr 0.5000 0.2934 0.0825  2 Sm 3.30-3.43, 3 Pr 3.31-3.49
Pr 0.5000 0.5000 0.5000  8 Pr 3.31-3.35, 2 Sm 3.70
Pm 0.0000 0.0000 0.0000  8 Pr 3.74

Values from the calculation:
* ρ: 5.61 g/cm3
* total DFT energy (no corrections): -41.47 eV for the cell shown
* energy relative to the elements: 0.62 eV/atom
* total moment: 0.0 Bohr magnetons per cell

---

- Which value of total DFT energy (no corrections) does entry 5 give?
  -45.40 eV for the cell shown